TbY3Sb3 | GGA-PBE | optimized geometry

Unit cell a=8.046 b=8.046 c=8.046 alpha=67.95 beta=67.95 gamma=67.95
Atoms (fractional coordinates):
1 Tb 0.166 0.166 0.166
2 Tb 0.834 0.834 0.834
3 Y 0.154 0.412 0.679
4 Y 0.321 0.846 0.588
5 Y 0.412 0.679 0.154
6 Y 0.588 0.321 0.846
7 Y 0.679 0.154 0.412
8 Y 0.846 0.588 0.321
9 Sb 0.032 0.802 0.422
10 Sb 0.198 0.578 0.968
11 Sb 0.422 0.032 0.802
12 Sb 0.578 0.968 0.198
13 Sb 0.802 0.422 0.032
14 Sb 0.968 0.198 0.578

Results
space-group type = R-3, No. 148
N(E_F) = 9.364 states/eV per cell
magnetic moment = 0.0 μB per cell
uncorrected formation energy = -0.9362 eV/atom